Record 1
This record from OQMD describes a relaxed YGa2Cu2 crystal. The functional is GGA-PBE.

a = 5.839 Å, b = 5.839 Å, c = 5.839 Å
α = 138.69°, β = 138.69°, γ = 59.84°
Element x y z (fractional)
1 Cu 0.750 0.250 0.500
2 Cu 0.250 0.750 0.500
3 Ga 0.378 0.378 0.000
4 Ga 0.622 0.622 0.000
5 Y 0.000 0.000 0.000

Calculated values
Its symmetry is No. 139. Its total magnetic moment is 0.00 μB/atom. Its raw total energy is -4.42 eV per atom.

Record 2
This record from OQMD describes a relaxed YGaCu2 crystal. The functional is GGA-PBE.

a = 4.569 Å, b = 4.569 Å, c = 4.569 Å
α = 60.00°, β = 60.00°, γ = 60.00°
Element x y z (fractional)
1 Cu 0.000 0.000 0.000
2 Cu 0.750 0.750 0.750
3 Ga 0.500 0.500 0.500
4 Y 0.250 0.250 0.250

Calculated values
Its symmetry is No. 216. Its total magnetic moment is 0.00 μB/atom. Its raw total energy is -4.46 eV per atom.

Record 3
This record from OQMD describes a relaxed Y2Ga5Cu3 crystal. The functional is GGA-PBE.

a = 8.300 Å, b = 8.300 Å, c = 8.300 Å
α = 103.00°, β = 91.22°, γ = 138.93°
Element x y z (fractional)
1 Cu 0.130 0.875 0.005
2 Cu 0.630 0.625 0.255
3 Cu 0.750 0.250 0.500
4 Cu 0.250 0.750 0.500
5 Cu 0.370 0.375 0.745
6 Cu 0.870 0.125 0.995
7 Ga 0.250 0.250 0.000
8 Ga 0.750 0.750 0.000
9 Ga 0.889 0.352 0.241
10 Ga 0.509 0.250 0.259
11 Ga 0.009 0.750 0.259
12 Ga 0.611 0.852 0.463
13 Ga 0.389 0.148 0.537
14 Ga 0.991 0.250 0.741
15 Ga 0.491 0.750 0.741
16 Ga 0.111 0.648 0.759
17 Y 0.371 0.743 0.114
18 Y 0.129 0.243 0.372
19 Y 0.871 0.757 0.628
20 Y 0.629 0.257 0.886

Calculated values
Its symmetry is No. 72. Its total magnetic moment is 0.00 μB/atom. Its raw total energy is -4.40 eV per atom.

Record 4
This record from OQMD describes a relaxed YGa6Cu crystal. The functional is GGA-PBE.

a = 6.236 Å, b = 6.236 Å, c = 4.359 Å
α = 90.00°, β = 90.00°, γ = 120.00°
Element x y z (fractional)
1 Cu 0.667 0.333 0.000
2 Ga 0.147 0.294 0.000
3 Ga 0.147 0.853 0.000
4 Ga 0.706 0.853 0.000
5 Ga 0.364 0.182 0.500
6 Ga 0.818 0.182 0.500
7 Ga 0.818 0.636 0.500
8 Y 0.333 0.667 0.500

Calculated values
Its symmetry is No. 187. Its total magnetic moment is 0.00 μB/atom. Its raw total energy is -3.71 eV per atom.

Record 5
This record from OQMD describes a relaxed Y2GaCu crystal. The functional is GGA-PBE.

a = 4.971 Å, b = 4.971 Å, c = 4.971 Å
α = 60.00°, β = 60.00°, γ = 60.00°
Element x y z (fractional)
1 Cu 0.250 0.250 0.250
2 Ga 0.500 0.500 0.500
3 Y 0.000 0.000 0.000
4 Y 0.750 0.750 0.750

Calculated values
Its symmetry is No. 216. Its total magnetic moment is 0.02 μB/atom. Its raw total energy is -4.81 eV per atom.

Record 6
This record from OQMD describes a relaxed YZrGa2Cu2 crystal. The functional is GGA-PBE.

a = 4.301 Å, b = 4.301 Å, c = 6.774 Å
α = 90.00°, β = 90.00°, γ = 120.00°
Element x y z (fractional)
1 Cu 0.667 0.333 0.281
2 Cu 0.667 0.333 0.719
3 Ga 0.333 0.667 0.279
4 Ga 0.333 0.667 0.721
5 Y 0.000 0.000 0.000
6 Zr 0.000 0.000 0.500

Calculated values
Its symmetry is No. 187. Its total magnetic moment is 0.03 μB/atom. Its raw total energy is -5.24 eV per atom.

Record 7
This record from OQMD describes a relaxed ZnGaCu2 crystal. The functional is GGA-PBE.

a = 4.220 Å, b = 4.220 Å, c = 4.220 Å
α = 60.00°, β = 60.00°, γ = 60.00°
Element x y z (fractional)
1 Cu 0.000 0.000 0.000
2 Cu 0.750 0.750 0.750
3 Ga 0.500 0.500 0.500
4 Zn 0.250 0.250 0.250

Calculated values
Its symmetry is No. 216. Its raw total energy is -2.95 eV per atom.

Record 8
This record from OQMD describes a relaxed ZnGaCu2 crystal. The functional is GGA-PBE.

a = 5.949 Å, b = 5.949 Å, c = 5.949 Å
α = 90.00°, β = 90.00°, γ = 90.00°
Element x y z (fractional)
1 Cu 0.247 0.247 0.247
2 Cu 0.753 0.247 0.247
3 Cu 0.247 0.753 0.247
4 Cu 0.753 0.753 0.247
5 Cu 0.247 0.247 0.753
6 Cu 0.753 0.247 0.753
7 Cu 0.247 0.753 0.753
8 Cu 0.753 0.753 0.753
9 Ga 0.500 0.500 0.000
10 Ga 0.500 0.000 0.500
11 Ga 0.000 0.500 0.500
12 Ga 0.500 0.500 0.500
13 Zn 0.000 0.000 0.000
14 Zn 0.500 0.000 0.000
15 Zn 0.000 0.500 0.000
16 Zn 0.000 0.000 0.500

Calculated values
Its symmetry is No. 221. Its raw total energy is -2.99 eV per atom.

Record 9
This record from OQMD describes a relaxed ZnGaCu2 crystal. The functional is GGA-PBE.

a = 5.949 Å, b = 5.949 Å, c = 5.949 Å
α = 90.00°, β = 90.00°, γ = 90.00°
Element x y z (fractional)
1 Cu 0.253 0.253 0.253
2 Cu 0.747 0.253 0.253
3 Cu 0.253 0.747 0.253
4 Cu 0.747 0.747 0.253
5 Cu 0.253 0.253 0.747
6 Cu 0.747 0.253 0.747
7 Cu 0.253 0.747 0.747
8 Cu 0.747 0.747 0.747
9 Ga 0.000 0.000 0.000
10 Ga 0.500 0.000 0.000
11 Ga 0.000 0.500 0.000
12 Ga 0.000 0.000 0.500
13 Zn 0.500 0.500 0.000
14 Zn 0.500 0.000 0.500
15 Zn 0.000 0.500 0.500
16 Zn 0.500 0.500 0.500

Calculated values
Its symmetry is No. 221. Its raw total energy is -2.99 eV per atom.

Record 10
This record from OQMD describes a relaxed ZnGa2Cu5 crystal. The functional is GGA-PBE.

a = 4.167 Å, b = 4.167 Å, c = 5.890 Å
α = 90.00°, β = 90.00°, γ = 90.00°
Element x y z (fractional)
1 Cu 0.500 0.500 0.000
2 Cu 0.500 0.000 0.249
3 Cu 0.000 0.500 0.249
4 Cu 0.500 0.000 0.751
5 Cu 0.000 0.500 0.751
6 Ga 0.000 0.000 0.000
7 Ga 0.500 0.500 0.500
8 Zn 0.000 0.000 0.500

Calculated values
Its symmetry is No. 123. Its raw total energy is -3.32 eV per atom.

Record 11
This record from OQMD describes a relaxed ZnGa2Cu crystal. The functional is GGA-PBE.

a = 4.469 Å, b = 4.469 Å, c = 4.469 Å
α = 60.00°, β = 60.00°, γ = 60.00°
Element x y z (fractional)
1 Cu 0.750 0.750 0.750
2 Ga 0.000 0.000 0.000
3 Ga 0.250 0.250 0.250
4 Zn 0.500 0.500 0.500

Calculated values
Its symmetry is No. 216. Its raw total energy is -2.64 eV per atom.

Record 12
This record from OQMD describes a relaxed ZnGa2Cu5 crystal. The functional is GGA-PBE.

a = 4.167 Å, b = 4.167 Å, c = 5.890 Å
α = 90.00°, β = 90.00°, γ = 90.00°
Element x y z (fractional)
1 Cu 0.500 0.000 0.251
2 Cu 0.000 0.500 0.251
3 Cu 0.000 0.000 0.500
4 Cu 0.500 0.000 0.749
5 Cu 0.000 0.500 0.749
6 Ga 0.000 0.000 0.000
7 Ga 0.500 0.500 0.500
8 Zn 0.500 0.500 0.000

Calculated values
Its symmetry is No. 123. Its raw total energy is -3.32 eV per atom.

Record 13
This record from OQMD describes a relaxed ZrGaCu2 crystal. The functional is GGA-PBE.

a = 4.427 Å, b = 4.427 Å, c = 4.427 Å
α = 60.00°, β = 60.00°, γ = 60.00°
Element x y z (fractional)
1 Cu 0.000 0.000 0.000
2 Cu 0.750 0.750 0.750
3 Ga 0.500 0.500 0.500
4 Zr 0.250 0.250 0.250

Calculated values
Its symmetry is No. 216. Its total magnetic moment is 0.00 μB/atom. Its raw total energy is -4.97 eV per atom.

Record 14
This record from OQMD describes a relaxed GdCu crystal. The functional is GGA-PBE.

a = 4.089 Å, b = 4.089 Å, c = 4.089 Å
α = 60.00°, β = 60.00°, γ = 60.00°
Element x y z (fractional)
1 Cu 0.000 0.000 0.000
2 Gd 0.500 0.500 0.500

Calculated values
Its symmetry is No. 225. Its total magnetic moment is 0.02 μB/atom. As for the energy of formation: 0.007 eV per atom.

Record 15
This record from OQMD describes a relaxed GdCu2 crystal. The functional is GGA-PBE.

a = 5.463 Å, b = 5.463 Å, c = 5.463 Å
α = 133.70°, β = 102.27°, γ = 95.54°
Element x y z (fractional)
1 Cu 0.218 0.165 0.053
2 Cu 0.612 0.165 0.447
3 Cu 0.388 0.835 0.553
4 Cu 0.782 0.835 0.947
5 Gd 0.795 0.545 0.250
6 Gd 0.205 0.455 0.750

Calculated values
Its symmetry is No. 74. Its total magnetic moment is 0.00 μB/atom. As for the energy of formation: -0.256 eV per atom.

Record 16
This record from OQMD describes a relaxed GdCu crystal. The functional is GGA-PBE.

a = 3.473 Å, b = 3.473 Å, c = 4.217 Å
α = 90.00°, β = 90.00°, γ = 120.00°
Element x y z (fractional)
1 Cu 0.667 0.333 0.750
2 Gd 0.333 0.667 0.250

Calculated values
Its symmetry is No. 187. Its total magnetic moment is 0.00 μB/atom. As for the energy of formation: 0.055 eV per atom.

Record 17
This record from OQMD describes a relaxed GdCu crystal. The functional is GGA-PBE.

a = 3.820 Å, b = 4.445 Å, c = 5.509 Å
α = 90.00°, β = 110.29°, γ = 90.00°
Element x y z (fractional)
1 Cu 0.569 0.750 0.138
2 Cu 0.431 0.250 0.862
3 Gd 0.141 0.250 0.282
4 Gd 0.859 0.750 0.718

Calculated values
Its symmetry is No. 11. Its total magnetic moment is 0.00 μB/atom. As for the energy of formation: -0.233 eV per atom.

Record 18
This record from OQMD describes a relaxed GdCu2 crystal. The functional is GGA-PBE.

a = 5.245 Å, b = 5.245 Å, c = 5.245 Å
α = 60.00°, β = 60.00°, γ = 60.00°
Element x y z (fractional)
1 Cu 0.625 0.625 0.125
2 Cu 0.625 0.125 0.625
3 Cu 0.125 0.625 0.625
4 Cu 0.625 0.625 0.625
5 Gd 0.000 0.000 0.000
6 Gd 0.250 0.250 0.250

Calculated values
Its symmetry is No. 227. Its total magnetic moment is 0.00 μB/atom. As for the energy of formation: -0.130 eV per atom.

Record 19
This record from OQMD describes a relaxed Gd2Cu crystal. The functional is GGA-PBE.

a = 6.144 Å, b = 6.144 Å, c = 6.144 Å
α = 60.00°, β = 60.00°, γ = 60.00°
Element x y z (fractional)
1 Cu 0.000 0.000 0.000
2 Cu 0.250 0.250 0.250
3 Gd 0.625 0.625 0.125
4 Gd 0.625 0.125 0.625
5 Gd 0.125 0.625 0.625
6 Gd 0.625 0.625 0.625

Calculated values
Its symmetry is No. 227. Its total magnetic moment is 0.00 μB/atom. As for the energy of formation: 0.743 eV per atom.

Record 20
This record from OQMD describes a relaxed GdCu crystal. The functional is GGA-PBE.

a = 4.405 Å, b = 4.405 Å, c = 4.405 Å
α = 60.00°, β = 60.00°, γ = 60.00°
Element x y z (fractional)
1 Cu 0.000 0.000 0.000
2 Gd 0.250 0.250 0.250

Calculated values
Its symmetry is No. 216. Its total magnetic moment is 0.00 μB/atom. As for the energy of formation: 0.506 eV per atom.